The following is a DFT calculation (PBE) of a relaxed Pu3Ag2Ge4 crystal.

Structure (extended XYZ):
```
9
Lattice="5.536 -2.204 0.000 5.536 2.204 0.000 -3.081 0.000 7.990" Properties=species:S:1:pos:R:3 pbc="T T T"
Pu 0.000 0.000 0.000
Pu 3.156 0.000 2.473
Pu 4.836 0.000 5.517
Ag 1.560 0.000 5.231
Ag 6.432 0.000 2.759
Ge -0.474 0.000 3.200
Ge 0.291 0.000 7.536
Ge 7.701 0.000 0.454
Ge 8.466 0.000 4.790
```

E, eV per cell: -69.739
Spin magnetization, Bohr magnetons per cell: 16.4
DFT formation energy, kJ/mol of formula units: -248


The following is a DFT calculation (PBE) of a relaxed LiSe3 crystal.

Structure (extended XYZ):
```
8
Lattice="4.420 -6.960 0.000 4.420 6.960 0.000 0.000 0.000 3.659" Properties=species:S:1:pos:R:3 pbc="T T T"
Li 4.420 3.794 2.744
Li 4.420 -3.794 0.915
Se 2.661 2.619 0.915
Se 4.420 1.024 2.744
Se 2.661 -2.619 2.744
Se 6.180 2.619 0.915
Se 4.420 -1.024 0.915
Se 6.180 -2.619 2.744
```

E, eV per cell: -26.504
Spin magnetization, Bohr magnetons per cell: 0.0
Uncorrected formation energy, eV per atom: -0.22


The following is a DFT calculation (PBE) of a relaxed DyTh3H crystal.

Structure (extended XYZ):
```
5
Lattice="5.085 0.000 0.000 0.000 5.085 0.000 0.000 0.000 5.085" Properties=species:S:1:pos:R:3 pbc="T T T"
Dy 0.000 0.000 0.000
Th 0.000 2.542 2.542
Th 2.542 0.000 2.542
Th 2.542 2.542 0.000
H 2.542 2.542 2.542
```

E, eV per cell: -30.499
Spin magnetization, Bohr magnetons per cell: 0.0


The following is a DFT calculation (PBE) of a relaxed ScZn4As crystal.

Structure (extended XYZ):
```
6
Lattice="0.000 3.718 3.718 3.718 0.000 3.718 3.718 3.718 0.000" Properties=species:S:1:pos:R:3 pbc="T T T"
Sc 0.000 0.000 0.000
Zn 4.654 2.783 2.783
Zn 2.783 4.654 2.783
Zn 2.783 2.783 4.654
Zn 4.654 4.654 4.654
As 1.859 1.859 1.859
```

E, eV per cell: -16.511
Spin magnetization, Bohr magnetons per cell: 0.0
DFT formation energy, kJ/mol of formula units: -42


The following is a DFT calculation (PBE) of a relaxed PtRh3F crystal.

Structure (extended XYZ):
```
5
Lattice="4.234 0.000 0.000 0.000 4.234 0.000 0.000 0.000 4.234" Properties=species:S:1:pos:R:3 pbc="T T T"
Pt 0.000 0.000 0.000
Rh 0.000 2.117 2.117
Rh 2.117 0.000 2.117
Rh 2.117 2.117 0.000
F 2.117 2.117 2.117
```

E, eV per cell: -26.545
Spin magnetization, Bohr magnetons per cell: 4.5
Uncorrected formation energy, eV per atom: 0.68


The following is a DFT calculation (PBE) of a relaxed RbSbBrF3 crystal.

Structure (extended XYZ):
```
12
Lattice="4.602 0.000 0.000 -1.842 7.573 0.000 -1.376 -3.560 8.284" Properties=species:S:1:pos:R:3 pbc="T T T"
Rb -0.754 0.186 2.943
Rb 2.139 3.827 5.341
Sb 0.012 4.272 1.708
Sb 1.373 -0.259 6.576
Br 1.440 1.809 0.620
Br -0.055 2.203 7.664
F -0.449 -0.534 5.830
F -0.299 3.236 3.412
F -0.326 6.037 2.589
F 1.710 -2.025 5.695
F 1.684 0.777 4.872
F 1.833 4.546 2.454
```

E, eV per cell: -51.259
Spin magnetization, Bohr magnetons per cell: 0.0
Uncorrected formation energy, eV per atom: -2.21


Question: Which value of spin magnetization does entry 2 give?
Answer: 0.0 Bohr magnetons per cell